# BaGe4O9, relaxed, DFT PBE
# Formation energy without anion corrections, meV per atom: -1906
data_BaGe4O9
_chemical_formula_sum 'Ba3 Ge12 O27'
_symmetry_space_group_name_H-M 'P 3 2 1'
_symmetry_Int_Tables_number 150
_symmetry_space_group_name_Hall 'P 3 2"'
_cell_length_a 11.7937
_cell_length_b 11.7937
_cell_length_c 4.8203
_cell_angle_alpha 90.00
_cell_angle_beta 90.00
_cell_angle_gamma 120.00
loop_
_atom_site_label
_atom_site_fract_x
_atom_site_fract_y
_atom_site_fract_z
_atom_site_occupancy
Ba1 0.0000 0.6682 0.0000 1
Ge1 0.0000 0.0000 0.0000 1
Ge2 0.0000 0.1793 0.5000 1
Ge3 0.1500 0.4874 0.4114 1
Ge4 0.3333 0.6667 0.9028 1
O1 0.0000 0.4826 0.5000 1
O2 0.0640 0.9115 0.7649 1
O3 0.1129 0.3252 0.3104 1
O4 0.1815 0.5938 0.1286 1
O5 0.2502 0.7371 0.6785 1

=====

# BaGeO, relaxed, DFT PBE
# Formation energy without anion corrections, meV per atom: -1150
data_BaGeO
_chemical_formula_sum 'Ba8 Ge8 O8'
_symmetry_space_group_name_H-M 'C m c e'
_symmetry_Int_Tables_number 64
_symmetry_space_group_name_Hall '-C 2ac 2'
_cell_length_a 5.909
_cell_length_b 12.515
_cell_length_c 7.745
_cell_angle_alpha 90.00
_cell_angle_beta 90.00
_cell_angle_gamma 90.00
loop_
_atom_site_label
_atom_site_fract_x
_atom_site_fract_y
_atom_site_fract_z
_atom_site_occupancy
Ba1 0.000 0.149 0.069 1
Ge1 0.000 0.074 0.624 1
O1 0.250 0.002 0.250 1

=====

# Ba2GeO4, relaxed, DFT PBE
# Formation energy without anion corrections, meV per atom: -2420
data_Ba2GeO4
_chemical_formula_sum 'Ba8 Ge4 O16'
_symmetry_space_group_name_H-M 'P n m a'
_symmetry_Int_Tables_number 62
_symmetry_space_group_name_Hall '-P 2ac 2n'
_cell_length_a 12.829
_cell_length_b 7.885
_cell_length_c 5.674
_cell_angle_alpha 90.00
_cell_angle_beta 90.00
_cell_angle_gamma 90.00
loop_
_atom_site_label
_atom_site_fract_x
_atom_site_fract_y
_atom_site_fract_z
_atom_site_occupancy
Ba1 0.000 0.000 0.000 1
Ba2 0.216 0.250 0.488 1
Ge1 0.099 0.750 0.434 1
O1 0.031 0.250 0.690 1
O2 0.094 0.750 0.747 1
O3 0.164 0.568 0.309 1

=====

# Ba2GeO4, relaxed, DFT PBE
# Formation energy without anion corrections, meV per atom: -2458
data_Ba2GeO4
_chemical_formula_sum 'Ba16 Ge8 O32'
_symmetry_space_group_name_H-M 'P n a 21'
_symmetry_Int_Tables_number 33
_symmetry_space_group_name_Hall 'P 2c -2n'
_cell_length_a 15.367
_cell_length_b 6.155
_cell_length_c 10.580
_cell_angle_alpha 90.00
_cell_angle_beta 90.00
_cell_angle_gamma 90.00
loop_
_atom_site_label
_atom_site_fract_x
_atom_site_fract_y
_atom_site_fract_z
_atom_site_occupancy
Ba1 0.044 0.230 0.000 1
Ba2 0.122 0.218 0.624 1
Ba3 0.128 0.730 0.227 1
Ba4 0.205 0.723 0.847 1
Ge1 0.016 0.265 0.342 1
Ge2 0.236 0.734 0.510 1
O1 0.005 0.964 0.745 1
O2 0.030 0.494 0.774 1
O3 0.039 0.778 0.990 1
O4 0.124 0.797 0.487 1
O5 0.129 0.309 0.365 1
O6 0.210 0.171 0.863 1
O7 0.214 0.480 0.064 1
O8 0.245 0.022 0.120 1

=====

# BaGePO2, relaxed, DFT PBE
# Formation energy without anion corrections, meV per atom: -911
data_BaGePO2
_chemical_formula_sum 'Ba1 Ge1 P1 O2'
_symmetry_space_group_name_H-M 'P 4/m m m'
_symmetry_Int_Tables_number 123
_symmetry_space_group_name_Hall '-P 4 2'
_cell_length_a 4.211
_cell_length_b 4.211
_cell_length_c 4.700
_cell_angle_alpha 90.00
_cell_angle_beta 90.00
_cell_angle_gamma 90.00
loop_
_atom_site_label
_atom_site_fract_x
_atom_site_fract_y
_atom_site_fract_z
_atom_site_occupancy
Ba1 0.000 0.000 0.000 1
Ge1 0.500 0.500 0.500 1
P1 0.500 0.500 0.000 1
O1 0.000 0.500 0.500 1

=====

# BaGePO2, relaxed, DFT PBE
# Formation energy without anion corrections, meV per atom: 249
data_BaGePO2
_chemical_formula_sum 'Ba1 Ge1 P1 O2'
_symmetry_space_group_name_H-M 'P 4/m m m'
_symmetry_Int_Tables_number 123
_symmetry_space_group_name_Hall '-P 4 2'
_cell_length_a 4.392
_cell_length_b 4.392
_cell_length_c 6.702
_cell_angle_alpha 90.00
_cell_angle_beta 90.00
_cell_angle_gamma 90.00
loop_
_atom_site_label
_atom_site_fract_x
_atom_site_fract_y
_atom_site_fract_z
_atom_site_occupancy
Ba1 0.000 0.000 0.000 1
Ge1 0.500 0.500 0.500 1
P1 0.000 0.000 0.500 1
O1 0.000 0.500 0.000 1

=====

# BaGeP2O8, relaxed, DFT PBE
# Formation energy without anion corrections, meV per atom: -2233
data_BaGeP2O8
_chemical_formula_sum 'Ba3 Ge3 P6 O24'
_symmetry_space_group_name_H-M 'R 3 2'
_symmetry_Int_Tables_number 155
_symmetry_space_group_name_Hall 'R 3 2"'
_cell_length_a 4.8671
_cell_length_b 4.8671
_cell_length_c 23.8219
_cell_angle_alpha 90.00
_cell_angle_beta 90.00
_cell_angle_gamma 120.00
loop_
_atom_site_label
_atom_site_fract_x
_atom_site_fract_y
_atom_site_fract_z
_atom_site_occupancy
Ba1 0.0000 0.0000 0.0000 1
Ge1 0.0000 0.0000 0.5000 1
P1 0.0000 0.0000 0.2378 1
O1 0.0000 0.0000 0.3022 1
O2 0.9997 0.4067 0.1155 1

=====

# BaPaGeO5, relaxed, DFT PBE
# Formation energy without anion corrections, meV per atom: -2696
data_BaPaGeO5
_chemical_formula_sum 'Ba4 Pa4 Ge4 O20'
_symmetry_space_group_name_H-M 'C 1 2/c 1'
_symmetry_Int_Tables_number 15
_symmetry_space_group_name_Hall '-C 2yc'
_cell_length_a 7.451
_cell_length_b 10.073
_cell_length_c 8.059
_cell_angle_alpha 90.00
_cell_angle_beta 112.77
_cell_angle_gamma 90.00
loop_
_atom_site_label
_atom_site_fract_x
_atom_site_fract_y
_atom_site_fract_z
_atom_site_occupancy
Ba1 0.000 0.164 0.250 1
Pa1 0.000 0.500 0.000 1
Ge1 0.000 0.184 0.750 1
O1 0.000 0.424 0.250 1
O2 0.094 0.287 0.619 1
O3 0.180 0.073 0.899 1

=====

D(E_F) for every record listed, in sequence, given in states/eV per cell: 0.00, 11.18, 0.00, 0.00, 3.08, 3.96, 0.00, 16.40.